This record from Alexandria via LeMat-Bulk describes a relaxed Be3Te crystal. The functional is PBE.

- E_form (uncorrected): 880 meV per atom
- Offset from the most stable computed form: 673 meV per atom
- Total magnetization: 0.00 μB per formula unit

Structure (CIF):
```
data_Be3Te
_chemical_formula_sum 'Be6 Te2'
_space_group_name_H-M_alt 'P m -3 n'
_space_group_IT_number 223
_space_group_name_Hall '-P 4n 2 3'
_cell_length_a 4.835
_cell_length_b 4.835
_cell_length_c 4.835
_cell_angle_alpha 90.00
_cell_angle_beta 90.00
_cell_angle_gamma 90.00
loop_
_atom_site_label
_atom_site_fract_x
_atom_site_fract_y
_atom_site_fract_z
_atom_site_occupancy
Be1 0.000 0.250 0.500 1
Te1 0.000 0.000 0.000 1
```


This record from Alexandria via LeMat-Bulk describes a relaxed Li2HfMn crystal. The functional is PBE.

- Offset from the most stable computed form: 253 meV per atom
- Formation energy from the elements: 664 meV/atom
- Total magnetization: 0.00 μB per formula unit

Structure (CIF):
```
data_Li2HfMn
_chemical_formula_sum 'Li8 Hf4 Mn4'
_space_group_name_H-M_alt 'F m -3 m'
_space_group_IT_number 225
_space_group_name_Hall '-F 4 2 3'
_cell_length_a 6.097
_cell_length_b 6.097
_cell_length_c 6.097
_cell_angle_alpha 90.00
_cell_angle_beta 90.00
_cell_angle_gamma 90.00
loop_
_atom_site_label
_atom_site_fract_x
_atom_site_fract_y
_atom_site_fract_z
_atom_site_occupancy
Li1 0.250 0.250 0.250 1
Hf1 0.000 0.000 0.000 1
Mn1 0.000 0.000 0.500 1
```


This record from Alexandria via LeMat-Bulk describes a relaxed HgMoAu2 crystal. The functional is PBE.

- Formation energy from the elements: 398 meV/atom
- Total magnetization: 0.90 μB per formula unit

Structure (CIF):
```
data_HgMoAu2
_chemical_formula_sum 'Hg2 Mo2 Au4'
_space_group_name_H-M_alt 'I m m 2'
_space_group_IT_number 44
_cell_length_a 2.829
_cell_length_b 5.145
_cell_length_c 10.262
_cell_angle_alpha 90.00
_cell_angle_beta 90.00
_cell_angle_gamma 90.00
loop_
_space_group_symop_operation_xyz
'x,y,z'
'-x,-y,z'
'-x,y,z'
'x,-y,z'
'x+1/2,y+1/2,z+1/2'
'-x+1/2,-y+1/2,z+1/2'
'-x+1/2,y+1/2,z+1/2'
'x+1/2,-y+1/2,z+1/2'
loop_
_atom_site_label
_atom_site_fract_x
_atom_site_fract_y
_atom_site_fract_z
_atom_site_occupancy
Hg1 0.000 0.000 0.000 1
Mo1 0.000 0.500 0.749 1
Au1 0.000 0.000 0.484 1
Au2 0.000 0.500 0.239 1
```


This record from Alexandria via LeMat-Bulk describes a relaxed Ce3Pu3ScSe8 crystal. The functional is PBE.

- E_form (uncorrected): -1686 meV per atom
- Total magnetization: 20.40 μB per formula unit

Structure (CIF):
```
data_Ce3Pu3ScSe8
_chemical_formula_sum 'Ce9 Pu9 Sc3 Se24'
_space_group_name_H-M_alt 'R -3 m'
_space_group_IT_number 166
_space_group_name_Hall '-R 3 2"'
_cell_length_a 8.3220
_cell_length_b 8.3220
_cell_length_c 20.1893
_cell_angle_alpha 90.00
_cell_angle_beta 90.00
_cell_angle_gamma 120.00
loop_
_atom_site_label
_atom_site_fract_x
_atom_site_fract_y
_atom_site_fract_z
_atom_site_occupancy
Ce1 0.0000 0.5000 0.0000 1
Pu1 0.0000 0.5000 0.5000 1
Sc1 0.0000 0.0000 0.0000 1
Se1 0.0000 0.0000 0.2476 1
Se2 0.0158 0.5079 0.7476 1
```


This record from Alexandria via LeMat-Bulk describes a relaxed La2Pr3Cd crystal. The functional is PBE.

- Offset from the most stable computed form: 0 meV per atom
- Formation energy from the elements: -7 meV/atom
- Total magnetization: 0.00 μB per formula unit

Structure (CIF):
```
data_La2Pr3Cd
_chemical_formula_sum 'La8 Pr12 Cd4'
_space_group_name_H-M_alt 'C 1 2/c 1'
_space_group_IT_number 15
_cell_length_a 9.895
_cell_length_b 12.524
_cell_length_c 6.805
_cell_angle_alpha 90.00
_cell_angle_beta 101.05
_cell_angle_gamma 90.00
loop_
_space_group_symop_operation_xyz
'x,y,z'
'-x,-y,-z'
'-x,y,-z+1/2'
'x,-y,z+1/2'
'x+1/2,y+1/2,z'
'-x+1/2,-y+1/2,-z'
'-x+1/2,y+1/2,-z+1/2'
'x+1/2,-y+1/2,z+1/2'
loop_
_atom_site_label
_atom_site_fract_x
_atom_site_fract_y
_atom_site_fract_z
_atom_site_occupancy
La1 0.167 0.229 0.194 1
Pr1 0.000 0.061 0.750 1
Pr2 0.172 0.468 0.465 1
Cd1 0.000 0.322 0.750 1
```


This record from Alexandria via LeMat-Bulk describes a relaxed FeCoIr2 crystal. The functional is PBE.

- Formation energy from the elements: 31 meV/atom
- Total magnetization: 3.92 μB per formula unit

Structure (CIF):
```
data_FeCoIr2
_chemical_formula_sum 'Fe2 Co2 Ir4'
_space_group_name_H-M_alt 'A m m 2'
_space_group_IT_number 38
_cell_length_a 3.982
_cell_length_b 2.667
_cell_length_c 9.748
_cell_angle_alpha 90.00
_cell_angle_beta 90.00
_cell_angle_gamma 90.00
loop_
_space_group_symop_operation_xyz
'x,y,z'
'-x,-y,z'
'-x,y,z'
'x,-y,z'
'x,y+1/2,z+1/2'
'-x,-y+1/2,z+1/2'
'-x,y+1/2,z+1/2'
'x,-y+1/2,z+1/2'
loop_
_atom_site_label
_atom_site_fract_x
_atom_site_fract_y
_atom_site_fract_z
_atom_site_occupancy
Fe1 0.000 0.000 0.000 1
Co1 0.500 0.000 0.874 1
Ir1 0.000 0.000 0.263 1
Ir2 0.500 0.000 0.613 1
```


This record from Alexandria via LeMat-Bulk describes a relaxed Nd3YTm2Te6 crystal. The functional is PBE.

- E_form (uncorrected): -1328 meV per atom
- Total magnetization: 0.00 μB per formula unit

Structure (CIF):
```
data_Nd3YTm2Te6
_chemical_formula_sum 'Nd6 Y2 Tm4 Te12'
_space_group_name_H-M_alt 'C 1 2/m 1'
_space_group_IT_number 12
_cell_length_a 19.397
_cell_length_b 4.348
_cell_length_c 8.960
_cell_angle_alpha 90.00
_cell_angle_beta 105.32
_cell_angle_gamma 90.00
loop_
_space_group_symop_operation_xyz
'x,y,z'
'-x,-y,-z'
'-x,y,-z'
'x,-y,z'
'x+1/2,y+1/2,z'
'-x+1/2,-y+1/2,-z'
'-x+1/2,y+1/2,-z'
'x+1/2,-y+1/2,z'
loop_
_atom_site_label
_atom_site_fract_x
_atom_site_fract_y
_atom_site_fract_z
_atom_site_occupancy
Nd1 0.000 0.000 0.000 1
Nd2 0.164 0.500 0.332 1
Y1 0.000 0.000 0.500 1
Tm1 0.166 0.500 0.831 1
Te1 0.005 0.500 0.745 1
Te2 0.165 0.000 0.594 1
Te3 0.171 0.000 0.073 1
```


This record from Alexandria via LeMat-Bulk describes a relaxed HoCd6Ag5 crystal. The functional is PBE.

- Offset from the most stable computed form: 0 meV per atom
- Formation energy from the elements: -99 meV/atom
- Total magnetization: 0.00 μB per formula unit

Structure (CIF):
```
data_HoCd6Ag5
_chemical_formula_sum 'Ho2 Cd12 Ag10'
_space_group_name_H-M_alt 'I m m m'
_space_group_IT_number 71
_space_group_name_Hall '-I 2 2'
_cell_length_a 4.632
_cell_length_b 8.362
_cell_length_c 12.735
_cell_angle_alpha 90.00
_cell_angle_beta 90.00
_cell_angle_gamma 90.00
loop_
_atom_site_label
_atom_site_fract_x
_atom_site_fract_y
_atom_site_fract_z
_atom_site_occupancy
Ho1 0.000 0.000 0.000 1
Cd1 0.000 0.221 0.500 1
Cd2 0.000 0.277 0.170 1
Ag1 0.000 0.000 0.307 1
Ag2 0.000 0.500 0.000 1
Ag3 0.000 0.500 0.346 1
```


This record from Alexandria via LeMat-Bulk describes a relaxed LiLaBr2 crystal. The functional is PBE.

- E_form (uncorrected): -1253 meV per atom
- Offset from the most stable computed form: 145 meV per atom
- Total magnetization: 0.00 μB per formula unit

Structure (CIF):
```
data_LiLaBr2
_chemical_formula_sum 'Li1 La1 Br2'
_space_group_name_H-M_alt 'P 1 2/m 1'
_space_group_IT_number 10
_cell_length_a 3.840
_cell_length_b 3.845
_cell_length_c 7.045
_cell_angle_alpha 90.00
_cell_angle_beta 90.12
_cell_angle_gamma 90.00
loop_
_space_group_symop_operation_xyz
'x,y,z'
'-x,-y,-z'
'-x,y,-z'
'x,-y,z'
loop_
_atom_site_label
_atom_site_fract_x
_atom_site_fract_y
_atom_site_fract_z
_atom_site_occupancy
Li1 0.000 0.000 0.000 1
La1 0.500 0.000 0.500 1
Br1 0.001 0.500 0.739 1
```


This record from Alexandria via LeMat-Bulk describes a relaxed Tb6Nd2DyY crystal. The functional is PBE.

- Formation energy from the elements: 114 meV/atom
- Total magnetization: 0.00 μB per formula unit

Structure (CIF):
```
data_Tb6Nd2DyY
_chemical_formula_sum 'Tb24 Nd8 Dy4 Y4'
_space_group_name_H-M_alt 'C 1 2/c 1'
_space_group_IT_number 15
_cell_length_a 9.051
_cell_length_b 15.189
_cell_length_c 9.718
_cell_angle_alpha 90.00
_cell_angle_beta 98.63
_cell_angle_gamma 90.00
loop_
_space_group_symop_operation_xyz
'x,y,z'
'-x,-y,-z'
'-x,y,-z+1/2'
'x,-y,z+1/2'
'x+1/2,y+1/2,z'
'-x+1/2,-y+1/2,-z'
'-x+1/2,y+1/2,-z+1/2'
'x+1/2,-y+1/2,z+1/2'
loop_
_atom_site_label
_atom_site_fract_x
_atom_site_fract_y
_atom_site_fract_z
_atom_site_occupancy
Tb1 0.063 0.190 0.443 1
Tb2 0.105 0.395 0.620 1
Tb3 0.201 0.223 0.812 1
Nd1 0.247 0.054 0.042 1
Dy1 0.000 0.407 0.250 1
Y1 0.000 0.019 0.750 1
```


This record from Alexandria via LeMat-Bulk describes a relaxed Mg2TaNbNi crystal. The functional is PBE.

- Formation energy from the elements: 725 meV/atom
- Total magnetization: 0.00 μB per formula unit

Structure (CIF):
```
data_Mg2TaNbNi
_chemical_formula_sum 'Mg2 Ta1 Nb1 Ni1'
_space_group_name_H-M_alt 'P 4/m m m'
_space_group_IT_number 123
_space_group_name_Hall '-P 4 2'
_cell_length_a 4.451
_cell_length_b 4.451
_cell_length_c 4.815
_cell_angle_alpha 90.00
_cell_angle_beta 90.00
_cell_angle_gamma 90.00
loop_
_atom_site_label
_atom_site_fract_x
_atom_site_fract_y
_atom_site_fract_z
_atom_site_occupancy
Mg1 0.000 0.500 0.000 1
Ta1 0.000 0.000 0.500 1
Nb1 0.500 0.500 0.500 1
Ni1 0.500 0.500 0.000 1
```


This record from Alexandria via LeMat-Bulk describes a relaxed MgBe2FeRu crystal. The functional is PBE.

- Formation energy from the elements: 1604 meV/atom
- Total magnetization: 3.61 μB per formula unit

Structure (CIF):
```
data_MgBe2FeRu
_chemical_formula_sum 'Mg1 Be2 Fe1 Ru1'
_space_group_name_H-M_alt 'P 4/m m m'
_space_group_IT_number 123
_space_group_name_Hall '-P 4 2'
_cell_length_a 4.176
_cell_length_b 4.176
_cell_length_c 4.464
_cell_angle_alpha 90.00
_cell_angle_beta 90.00
_cell_angle_gamma 90.00
loop_
_atom_site_label
_atom_site_fract_x
_atom_site_fract_y
_atom_site_fract_z
_atom_site_occupancy
Mg1 0.000 0.000 0.000 1
Be1 0.000 0.500 0.000 1
Fe1 0.500 0.500 0.500 1
Ru1 0.000 0.000 0.500 1
```


Result set for density: 4.54; 7.25; 15.35; 7.52; 6.52; 16.01; 7.41; 9.28; 4.88; 7.51; 6.63; 4.25 g/cm3, one per record in the order listed.